# PBE-GGA Tc5Br, optimized geometry
data_Tc5Br
_cell_length_a 2.901
_cell_length_b 2.901
_cell_length_c 10.973
_cell_angle_alpha 90.00
_cell_angle_beta 90.00
_cell_angle_gamma 90.00
_symmetry_space_group_name_H-M 'P 1'
_symmetry_Int_Tables_number 1
loop_
_symmetry_equiv_pos_as_xyz
'x,y,z'
loop_
_atom_site_label
_atom_site_type_symbol
_atom_site_fract_x
_atom_site_fract_y
_atom_site_fract_z
Tc1 Tc 0.000 0.000 0.000
Tc2 Tc 0.000 0.000 0.321
Tc3 Tc 0.000 0.000 0.679
Tc4 Tc 0.500 0.500 0.172
Tc5 Tc 0.500 0.500 0.828
Br1 Br 0.500 0.500 0.500
# Total magnetic moment   0.0 Bohr magnetons per cell
# Symmetry   P4/mmm
# Offset from the most stable computed form   0 meV per atom
# Raw formation energy   0.384 eV/atom
# DFT total energy   -8.533 eV/atom


# PBE-GGA TcBr3, optimized geometry
data_TcBr3
_cell_length_a 3.557
_cell_length_b 3.557
_cell_length_c 30.853
_cell_angle_alpha 90.00
_cell_angle_beta 90.00
_cell_angle_gamma 120.00
_symmetry_space_group_name_H-M 'P 1'
_symmetry_Int_Tables_number 1
loop_
_symmetry_equiv_pos_as_xyz
'x,y,z'
loop_
_atom_site_label
_atom_site_type_symbol
_atom_site_fract_x
_atom_site_fract_y
_atom_site_fract_z
Tc1 Tc 0.000 0.000 0.000
Tc2 Tc 0.333 0.667 0.667
Tc3 Tc 0.667 0.333 0.333
Br1 Br 0.000 0.000 0.384
Br2 Br 0.000 0.000 0.500
Br3 Br 0.000 0.000 0.616
Br4 Br 0.333 0.667 0.051
Br5 Br 0.333 0.667 0.167
Br6 Br 0.333 0.667 0.283
Br7 Br 0.667 0.333 0.717
Br8 Br 0.667 0.333 0.833
Br9 Br 0.667 0.333 0.949
# Total magnetic moment   5.3 Bohr magnetons per cell
# Symmetry   R-3m
# Offset from the most stable computed form   504 meV per atom
# Raw formation energy   0.150 eV/atom
# DFT total energy   -3.697 eV/atom


# PBE-GGA Tc2Br, optimized geometry
data_Tc2Br
_cell_length_a 12.386
_cell_length_b 3.021
_cell_length_c 6.818
_cell_angle_alpha 90.00
_cell_angle_beta 119.91
_cell_angle_gamma 90.00
_symmetry_space_group_name_H-M 'P 1'
_symmetry_Int_Tables_number 1
loop_
_symmetry_equiv_pos_as_xyz
'x,y,z'
loop_
_atom_site_label
_atom_site_type_symbol
_atom_site_fract_x
_atom_site_fract_y
_atom_site_fract_z
Tc1 Tc 0.162 0.000 0.360
Tc2 Tc 0.247 0.000 0.819
Tc3 Tc 0.253 0.500 0.181
Tc4 Tc 0.338 0.500 0.640
Tc5 Tc 0.662 0.500 0.360
Tc6 Tc 0.747 0.500 0.819
Tc7 Tc 0.753 0.000 0.181
Tc8 Tc 0.838 0.000 0.640
Br1 Br 0.051 0.500 0.781
Br2 Br 0.449 0.000 0.219
Br3 Br 0.551 0.000 0.781
Br4 Br 0.949 0.500 0.219
# Total magnetic moment   0.0 Bohr magnetons per cell
# Symmetry   C2/m
# Offset from the most stable computed form   519 meV per atom
# Raw formation energy   0.625 eV/atom
# DFT total energy   -6.843 eV/atom


# PBE-GGA TcBr4, optimized geometry
data_TcBr4
_cell_length_a 6.477
_cell_length_b 13.569
_cell_length_c 16.070
_cell_angle_alpha 90.00
_cell_angle_beta 90.00
_cell_angle_gamma 90.00
_symmetry_space_group_name_H-M 'P 1'
_symmetry_Int_Tables_number 1
loop_
_symmetry_equiv_pos_as_xyz
'x,y,z'
loop_
_atom_site_label
_atom_site_type_symbol
_atom_site_fract_x
_atom_site_fract_y
_atom_site_fract_z
Tc1 Tc 0.097 0.126 0.183
Tc2 Tc 0.097 0.374 0.683
Tc3 Tc 0.403 0.626 0.183
Tc4 Tc 0.403 0.874 0.683
Tc5 Tc 0.597 0.126 0.317
Tc6 Tc 0.597 0.374 0.817
Tc7 Tc 0.903 0.626 0.317
Tc8 Tc 0.903 0.874 0.817
Br1 Br 0.044 0.738 0.419
Br2 Br 0.044 0.762 0.919
Br3 Br 0.078 0.731 0.197
Br4 Br 0.078 0.769 0.697
Br5 Br 0.230 0.521 0.304
Br6 Br 0.230 0.979 0.804
Br7 Br 0.239 0.013 0.081
Br8 Br 0.239 0.487 0.581
Br9 Br 0.261 0.513 0.081
Br10 Br 0.261 0.987 0.581
Br11 Br 0.270 0.021 0.304
Br12 Br 0.270 0.479 0.804
Br13 Br 0.422 0.231 0.197
Br14 Br 0.422 0.269 0.697
Br15 Br 0.456 0.238 0.419
Br16 Br 0.456 0.262 0.919
Br17 Br 0.544 0.738 0.081
Br18 Br 0.544 0.762 0.581
Br19 Br 0.578 0.731 0.303
Br20 Br 0.578 0.769 0.803
Br21 Br 0.730 0.521 0.196
Br22 Br 0.730 0.979 0.696
Br23 Br 0.739 0.013 0.419
Br24 Br 0.739 0.487 0.919
Br25 Br 0.761 0.513 0.419
Br26 Br 0.761 0.987 0.919
Br27 Br 0.770 0.021 0.196
Br28 Br 0.770 0.479 0.696
Br29 Br 0.922 0.231 0.303
Br30 Br 0.922 0.269 0.803
Br31 Br 0.956 0.238 0.081
Br32 Br 0.956 0.262 0.581
# Total magnetic moment   24.0 Bohr magnetons per cell
# Symmetry   Pbca
# Offset from the most stable computed form   0 meV per atom
# Raw formation energy   -0.368 eV/atom
# DFT total energy   -3.779 eV/atom


# PBE-GGA TcBr3, optimized geometry
data_TcBr3
_cell_length_a 4.721
_cell_length_b 4.721
_cell_length_c 4.721
_cell_angle_alpha 90.00
_cell_angle_beta 90.00
_cell_angle_gamma 90.00
_symmetry_space_group_name_H-M 'P 1'
_symmetry_Int_Tables_number 1
loop_
_symmetry_equiv_pos_as_xyz
'x,y,z'
loop_
_atom_site_label
_atom_site_type_symbol
_atom_site_fract_x
_atom_site_fract_y
_atom_site_fract_z
Tc1 Tc 0.000 0.000 0.000
Br1 Br 0.000 0.500 0.500
Br2 Br 0.500 0.000 0.500
Br3 Br 0.500 0.500 0.000
# Total magnetic moment   5.9 Bohr magnetons per cell
# Symmetry   Pm-3m
# Offset from the most stable computed form   1264 meV per atom
# Raw formation energy   0.909 eV/atom
# DFT total energy   -2.937 eV/atom


# PBE-GGA TcBr4, optimized geometry
data_TcBr4
_cell_length_a 6.537
_cell_length_b 6.537
_cell_length_c 6.537
_cell_angle_alpha 90.00
_cell_angle_beta 90.00
_cell_angle_gamma 90.00
_symmetry_space_group_name_H-M 'P 1'
_symmetry_Int_Tables_number 1
loop_
_symmetry_equiv_pos_as_xyz
'x,y,z'
loop_
_atom_site_label
_atom_site_type_symbol
_atom_site_fract_x
_atom_site_fract_y
_atom_site_fract_z
Tc1 Tc 0.000 0.000 0.000
Tc2 Tc 0.500 0.500 0.500
Br1 Br 0.250 0.250 0.250
Br2 Br 0.250 0.250 0.750
Br3 Br 0.250 0.750 0.250
Br4 Br 0.250 0.750 0.750
Br5 Br 0.750 0.250 0.250
Br6 Br 0.750 0.250 0.750
Br7 Br 0.750 0.750 0.250
Br8 Br 0.750 0.750 0.750
# Total magnetic moment   7.5 Bohr magnetons per cell
# Symmetry   Im-3m
# Offset from the most stable computed form   725 meV per atom
# Raw formation energy   0.357 eV/atom
# DFT total energy   -3.054 eV/atom


# PBE-GGA Tc2Br, optimized geometry
data_Tc2Br
_cell_length_a 6.059
_cell_length_b 6.059
_cell_length_c 6.059
_cell_angle_alpha 90.00
_cell_angle_beta 90.00
_cell_angle_gamma 90.00
_symmetry_space_group_name_H-M 'P 1'
_symmetry_Int_Tables_number 1
loop_
_symmetry_equiv_pos_as_xyz
'x,y,z'
loop_
_atom_site_label
_atom_site_type_symbol
_atom_site_fract_x
_atom_site_fract_y
_atom_site_fract_z
Tc1 Tc 0.107 0.107 0.107
Tc2 Tc 0.107 0.393 0.607
Tc3 Tc 0.393 0.607 0.107
Tc4 Tc 0.393 0.893 0.607
Tc5 Tc 0.607 0.107 0.393
Tc6 Tc 0.607 0.393 0.893
Tc7 Tc 0.893 0.607 0.393
Tc8 Tc 0.893 0.893 0.893
Br1 Br 0.000 0.000 0.500
Br2 Br 0.000 0.500 0.000
Br3 Br 0.500 0.000 0.000
Br4 Br 0.500 0.500 0.500
# Total magnetic moment   0.0 Bohr magnetons per cell
# Symmetry   Pa-3
# Offset from the most stable computed form   1306 meV per atom
# Raw formation energy   1.413 eV/atom
# DFT total energy   -6.056 eV/atom


# PBE-GGA Tc2Br, optimized geometry
data_Tc2Br
_cell_length_a 4.422
_cell_length_b 18.237
_cell_length_c 2.987
_cell_angle_alpha 90.00
_cell_angle_beta 90.00
_cell_angle_gamma 90.00
_symmetry_space_group_name_H-M 'P 1'
_symmetry_Int_Tables_number 1
loop_
_symmetry_equiv_pos_as_xyz
'x,y,z'
loop_
_atom_site_label
_atom_site_type_symbol
_atom_site_fract_x
_atom_site_fract_y
_atom_site_fract_z
Tc1 Tc 0.000 0.150 0.250
Tc2 Tc 0.000 0.266 0.750
Tc3 Tc 0.000 0.734 0.250
Tc4 Tc 0.000 0.850 0.750
Tc5 Tc 0.500 0.234 0.250
Tc6 Tc 0.500 0.350 0.750
Tc7 Tc 0.500 0.650 0.250
Tc8 Tc 0.500 0.766 0.750
Br1 Br 0.000 0.400 0.250
Br2 Br 0.000 0.600 0.750
Br3 Br 0.500 0.100 0.750
Br4 Br 0.500 0.900 0.250
# Total magnetic moment   0.0 Bohr magnetons per cell
# Symmetry   Cmcm
# Offset from the most stable computed form   411 meV per atom
# Raw formation energy   0.518 eV/atom
# DFT total energy   -6.950 eV/atom


# PBE-GGA TcBr3, optimized geometry
data_TcBr3
_cell_length_a 5.212
_cell_length_b 5.212
_cell_length_c 5.212
_cell_angle_alpha 90.00
_cell_angle_beta 90.00
_cell_angle_gamma 90.00
_symmetry_space_group_name_H-M 'P 1'
_symmetry_Int_Tables_number 1
loop_
_symmetry_equiv_pos_as_xyz
'x,y,z'
loop_
_atom_site_label
_atom_site_type_symbol
_atom_site_fract_x
_atom_site_fract_y
_atom_site_fract_z
Tc1 Tc 0.000 0.000 0.000
Br1 Br 0.000 0.000 0.500
Br2 Br 0.000 0.500 0.000
Br3 Br 0.500 0.000 0.000
# Total magnetic moment   3.7 Bohr magnetons per cell
# Symmetry   Pm-3m
# Offset from the most stable computed form   320 meV per atom
# Raw formation energy   -0.035 eV/atom
# DFT total energy   -3.881 eV/atom


# PBE-GGA Tc4Br, optimized geometry
data_Tc4Br
_cell_length_a 4.505
_cell_length_b 4.505
_cell_length_c 4.505
_cell_angle_alpha 90.00
_cell_angle_beta 90.00
_cell_angle_gamma 90.00
_symmetry_space_group_name_H-M 'P 1'
_symmetry_Int_Tables_number 1
loop_
_symmetry_equiv_pos_as_xyz
'x,y,z'
loop_
_atom_site_label
_atom_site_type_symbol
_atom_site_fract_x
_atom_site_fract_y
_atom_site_fract_z
Tc1 Tc 0.000 0.000 0.000
Tc2 Tc 0.000 0.500 0.500
Tc3 Tc 0.500 0.000 0.500
Tc4 Tc 0.500 0.500 0.000
Br1 Br 0.500 0.500 0.500
# Total magnetic moment   2.6 Bohr magnetons per cell
# Symmetry   Pm-3m
# Offset from the most stable computed form   1147 meV per atom
# Raw formation energy   1.854 eV/atom
# DFT total energy   -6.774 eV/atom


# PBE-GGA Tc7Br6, optimized geometry
data_Tc7Br6
_cell_length_a 11.609
_cell_length_b 11.609
_cell_length_c 11.609
_cell_angle_alpha 27.90
_cell_angle_beta 27.90
_cell_angle_gamma 27.90
_symmetry_space_group_name_H-M 'P 1'
_symmetry_Int_Tables_number 1
loop_
_symmetry_equiv_pos_as_xyz
'x,y,z'
loop_
_atom_site_label
_atom_site_type_symbol
_atom_site_fract_x
_atom_site_fract_y
_atom_site_fract_z
Tc1 Tc 0.000 0.000 0.000
Tc2 Tc 0.086 0.086 0.623
Tc3 Tc 0.086 0.623 0.086
Tc4 Tc 0.377 0.914 0.914
Tc5 Tc 0.623 0.086 0.086
Tc6 Tc 0.914 0.377 0.914
Tc7 Tc 0.914 0.914 0.377
Br1 Br 0.133 0.133 0.133
Br2 Br 0.318 0.318 0.318
Br3 Br 0.416 0.416 0.416
Br4 Br 0.584 0.584 0.584
Br5 Br 0.682 0.682 0.682
Br6 Br 0.867 0.867 0.867
# Total magnetic moment   7.4 Bohr magnetons per cell
# Symmetry   R-3m
# Raw formation energy   0.701 eV/atom
# DFT total energy   -5.653 eV/atom


# PBE-GGA TcBr3, optimized geometry
data_TcBr3
_cell_length_a 3.386
_cell_length_b 11.443
_cell_length_c 6.923
_cell_angle_alpha 90.00
_cell_angle_beta 90.00
_cell_angle_gamma 90.00
_symmetry_space_group_name_H-M 'P 1'
_symmetry_Int_Tables_number 1
loop_
_symmetry_equiv_pos_as_xyz
'x,y,z'
loop_
_atom_site_label
_atom_site_type_symbol
_atom_site_fract_x
_atom_site_fract_y
_atom_site_fract_z
Tc1 Tc 0.000 0.000 0.000
Tc2 Tc 0.500 0.500 0.500
Br1 Br 0.000 0.352 0.361
Br2 Br 0.000 0.500 0.780
Br3 Br 0.000 0.648 0.361
Br4 Br 0.500 0.000 0.280
Br5 Br 0.500 0.148 0.861
Br6 Br 0.500 0.852 0.861
# Total magnetic moment   3.9 Bohr magnetons per cell
# Symmetry   Imm2
# Offset from the most stable computed form   267 meV per atom
# Raw formation energy   -0.088 eV/atom
# DFT total energy   -3.934 eV/atom


> Which formula does entry 6 have?

TcBr4


Repeat the eleventh record exactly.
# PBE-GGA Tc7Br6, optimized geometry
data_Tc7Br6
_cell_length_a 11.609
_cell_length_b 11.609
_cell_length_c 11.609
_cell_angle_alpha 27.90
_cell_angle_beta 27.90
_cell_angle_gamma 27.90
_symmetry_space_group_name_H-M 'P 1'
_symmetry_Int_Tables_number 1
loop_
_symmetry_equiv_pos_as_xyz
'x,y,z'
loop_
_atom_site_label
_atom_site_type_symbol
_atom_site_fract_x
_atom_site_fract_y
_atom_site_fract_z
Tc1 Tc 0.000 0.000 0.000
Tc2 Tc 0.086 0.086 0.623
Tc3 Tc 0.086 0.623 0.086
Tc4 Tc 0.377 0.914 0.914
Tc5 Tc 0.623 0.086 0.086
Tc6 Tc 0.914 0.377 0.914
Tc7 Tc 0.914 0.914 0.377
Br1 Br 0.133 0.133 0.133
Br2 Br 0.318 0.318 0.318
Br3 Br 0.416 0.416 0.416
Br4 Br 0.584 0.584 0.584
Br5 Br 0.682 0.682 0.682
Br6 Br 0.867 0.867 0.867
# Total magnetic moment   7.4 Bohr magnetons per cell
# Symmetry   R-3m
# Raw formation energy   0.701 eV/atom
# DFT total energy   -5.653 eV/atom


> The highest raw formation energy belongs to which entry?

Tc4Br